*1*
TaB2Br | PBE-GGA | optimized geometry

abc: 5.380 5.380 9.779
angles: 90.00 90.00 90.00
Element x y z (fractional)
Ta: 0.000 0.000 0.000
Ta: 0.000 0.500 0.250
Ta: 0.500 0.000 0.750
Ta: 0.500 0.500 0.500
B: 0.233 0.250 0.125
B: 0.250 0.733 0.375
B: 0.250 0.767 0.875
B: 0.267 0.250 0.625
B: 0.733 0.750 0.625
B: 0.750 0.233 0.875
B: 0.750 0.267 0.375
B: 0.767 0.750 0.125
Br: 0.000 0.000 0.500
Br: 0.000 0.500 0.750
Br: 0.500 0.000 0.250
Br: 0.500 0.500 0.000

Summary:
Space-group type: I-42d, No. 122
M_tot in μB/cell: 0.00
ρ in g/cm3: 6.6

*2*
TaB2Br | PBE-GGA | optimized geometry

abc: 5.976 5.976 5.976
angles: 90.00 90.00 90.00
Element x y z (fractional)
Ta: 0.000 0.000 0.000
Ta: 0.000 0.500 0.500
Ta: 0.500 0.000 0.500
Ta: 0.500 0.500 0.000
B: 0.250 0.250 0.250
B: 0.250 0.250 0.750
B: 0.250 0.750 0.250
B: 0.250 0.750 0.750
B: 0.750 0.250 0.250
B: 0.750 0.250 0.750
B: 0.750 0.750 0.250
B: 0.750 0.750 0.750
Br: 0.000 0.000 0.500
Br: 0.000 0.500 0.000
Br: 0.500 0.000 0.000
Br: 0.500 0.500 0.500

Summary:
Space-group type: Fm-3m, No. 225
M_tot in μB/cell: 0.00
ρ in g/cm3: 8.8

Result of the stability comparison: *1* is the most stable of them.

*1*
TaBBr2 | PBE-GGA | optimized geometry

abc: 9.692 9.692 4.397
angles: 90.00 90.00 90.00
Element x y z (fractional)
Ta: 0.000 0.000 0.000
Ta: 0.000 0.500 0.250
Ta: 0.500 0.000 0.750
Ta: 0.500 0.500 0.500
B: 0.000 0.000 0.500
B: 0.000 0.500 0.750
B: 0.500 0.000 0.250
B: 0.500 0.500 0.000
Br: 0.089 0.750 0.125
Br: 0.250 0.089 0.875
Br: 0.250 0.411 0.375
Br: 0.411 0.750 0.625
Br: 0.589 0.250 0.625
Br: 0.750 0.589 0.375
Br: 0.750 0.911 0.875
Br: 0.911 0.250 0.125

Summary:
Space-group type: I-42d, No. 122
M_tot in μB/cell: 3.87
ρ in g/cm3: 5.7

*2*
TaBBr2 | PBE-GGA | optimized geometry

abc: 6.468 6.468 6.468
angles: 90.00 90.00 90.00
Element x y z (fractional)
Ta: 0.000 0.000 0.000
Ta: 0.000 0.500 0.500
Ta: 0.500 0.000 0.500
Ta: 0.500 0.500 0.000
B: 0.000 0.000 0.500
B: 0.000 0.500 0.000
B: 0.500 0.000 0.000
B: 0.500 0.500 0.500
Br: 0.250 0.250 0.250
Br: 0.250 0.250 0.750
Br: 0.250 0.750 0.250
Br: 0.250 0.750 0.750
Br: 0.750 0.250 0.250
Br: 0.750 0.250 0.750
Br: 0.750 0.750 0.250
Br: 0.750 0.750 0.750

Summary:
Space-group type: Fm-3m, No. 225
M_tot in μB/cell: 0.00
ρ in g/cm3: 8.6

*3*
TaBBr2 | PBE-GGA | optimized geometry

abc: 3.313 3.313 25.066
angles: 90.00 90.00 120.00
Element x y z (fractional)
Ta: 0.000 0.000 0.000
Ta: 0.333 0.667 0.667
Ta: 0.667 0.333 0.333
B: 0.000 0.000 0.500
B: 0.333 0.667 0.167
B: 0.667 0.333 0.833
Br: 0.000 0.000 0.101
Br: 0.000 0.000 0.899
Br: 0.333 0.667 0.566
Br: 0.333 0.667 0.767
Br: 0.667 0.333 0.233
Br: 0.667 0.333 0.434

Summary:
Space-group type: R-3m, No. 166
M_tot in μB/cell: 0.00
ρ in g/cm3: 7.4

Result of the stability comparison: *1* is the most stable of them.